1.
{"formula": "CsBiCl2", "functional": "SCAN", "state": "single point on PBEsol structure", "lattice": [[1.9655, 1.1348, 10.0887], [-1.9655, 1.1348, 10.0887], [0.0000, -2.2696, 10.0887]], "species": ["Cs", "Bi", "Cl", "Cl"], "frac_coords": [[0.0000, 0.0000, 0.0000], [0.5000, 0.5000, 0.5000], [0.4110, 0.4110, 0.4110], [0.5890, 0.5890, 0.5890]], "magnetic_moment_mub_per_cell": 0.00, "final_energy_ev_per_atom": -34.209, "e_form_raw_mev_per_atom": -1123, "space_group": "R-3m, No. 166", "dos_ef_per_ev_cell": 0.58}



2.
{"formula": "Cs3Bi2Cl9", "functional": "SCAN", "state": "single point on PBEsol structure", "lattice": [[7.6004, 0.0000, 0.0000], [-3.8002, 6.5821, 0.0000], [0.0000, 0.0000, 9.3977]], "species": ["Cs", "Cs", "Cs", "Bi", "Bi", "Cl", "Cl", "Cl", "Cl", "Cl", "Cl", "Cl", "Cl", "Cl"], "frac_coords": [[0.0000, 0.0000, 0.0000], [0.3333, 0.6667, 0.3457], [0.6667, 0.3333, 0.6543], [0.3333, 0.6667, 0.8139], [0.6667, 0.3333, 0.1861], [0.0000, 0.4797, 0.0000], [0.1587, 0.8212, 0.6639], [0.1788, 0.3375, 0.6639], [0.3375, 0.1788, 0.3361], [0.4797, 0.0000, 0.0000], [0.5203, 0.5203, 0.0000], [0.6625, 0.8413, 0.6639], [0.8212, 0.1587, 0.3361], [0.8413, 0.6625, 0.3361]], "magnetic_moment_mub_per_cell": 0.00, "final_energy_ev_per_atom": -26.056, "e_form_raw_mev_per_atom": -1600, "space_group": "P321, No. 150", "dos_ef_per_ev_cell": 0.00}



3.
{"formula": "Cs3Bi2Cl9", "functional": "SCAN", "state": "single point on PBEsol structure", "lattice": [[18.5186, 0.0000, 0.0000], [0.0000, 7.5739, 0.0000], [0.0000, 0.0000, 13.1337]], "species": ["Cs", "Cs", "Cs", "Cs", "Cs", "Cs", "Cs", "Cs", "Cs", "Cs", "Cs", "Cs", "Bi", "Bi", "Bi", "Bi", "Bi", "Bi", "Bi", "Bi", "Cl", "Cl", "Cl", "Cl", "Cl", "Cl", "Cl", "Cl", "Cl", "Cl", "Cl", "Cl", "Cl", "Cl", "Cl", "Cl", "Cl", "Cl", "Cl", "Cl", "Cl", "Cl", "Cl", "Cl", "Cl", "Cl", "Cl", "Cl", "Cl", "Cl", "Cl", "Cl", "Cl", "Cl", "Cl", "Cl"], "frac_coords": [[0.0858, 0.2500, 0.0783], [0.0896, 0.7500, 0.5928], [0.2483, 0.2500, 0.7521], [0.2517, 0.7500, 0.2521], [0.4104, 0.2500, 0.0928], [0.4142, 0.7500, 0.5783], [0.5858, 0.2500, 0.4217], [0.5896, 0.7500, 0.9072], [0.7483, 0.2500, 0.7479], [0.7517, 0.7500, 0.2479], [0.9104, 0.2500, 0.4072], [0.9142, 0.7500, 0.9217], [0.0018, 0.2500, 0.7618], [0.1824, 0.2500, 0.4176], [0.3176, 0.7500, 0.9176], [0.4982, 0.7500, 0.2618], [0.5018, 0.2500, 0.7382], [0.6824, 0.2500, 0.0824], [0.8176, 0.7500, 0.5824], [0.9982, 0.7500, 0.2382], [0.0820, 0.7500, 0.0820], [0.0825, 0.0032, 0.8358], [0.0825, 0.4968, 0.8358], [0.0858, 0.0036, 0.3348], [0.0858, 0.4964, 0.3348], [0.0868, 0.2500, 0.5831], [0.2500, 0.0104, 0.0046], [0.2503, 0.2500, 0.2440], [0.2500, 0.4896, 0.0046], [0.2500, 0.5104, 0.5046], [0.2497, 0.7500, 0.7440], [0.2500, 0.9896, 0.5046], [0.4132, 0.7500, 0.0831], [0.4142, 0.5036, 0.8348], [0.4142, 0.9964, 0.8348], [0.4175, 0.5032, 0.3358], [0.4175, 0.9968, 0.3358], [0.4180, 0.2500, 0.5820], [0.5820, 0.7500, 0.4180], [0.5825, 0.0032, 0.6642], [0.5825, 0.4968, 0.6642], [0.5858, 0.0036, 0.1652], [0.5858, 0.4964, 0.1652], [0.5868, 0.2500, 0.9169], [0.7500, 0.0104, 0.4954], [0.7503, 0.2500, 0.2560], [0.7500, 0.4896, 0.4954], [0.7500, 0.5104, 0.9954], [0.7497, 0.7500, 0.7560], [0.7500, 0.9896, 0.9954], [0.9132, 0.7500, 0.4169], [0.9142, 0.5036, 0.6652], [0.9142, 0.9964, 0.6652], [0.9175, 0.5032, 0.1642], [0.9175, 0.9968, 0.1642], [0.9180, 0.2500, 0.9180]], "magnetic_moment_mub_per_cell": 0.00, "final_energy_ev_per_atom": -26.058, "e_form_raw_mev_per_atom": -1602, "space_group": "Pnma, No. 62", "dos_ef_per_ev_cell": 0.00}



4.
{"formula": "Cs2InBiCl6", "functional": "SCAN", "state": "single point on PBEsol structure", "lattice": [[0.0000, 5.5828, 5.5828], [5.5828, 0.0000, 5.5828], [5.5828, 5.5828, 0.0000]], "species": ["Cs", "Cs", "In", "Bi", "Cl", "Cl", "Cl", "Cl", "Cl", "Cl"], "frac_coords": [[0.2500, 0.2500, 0.2500], [0.7500, 0.7500, 0.7500], [0.0000, 0.0000, 0.0000], [0.5000, 0.5000, 0.5000], [0.2581, 0.2581, 0.7419], [0.2581, 0.7419, 0.2581], [0.2581, 0.7419, 0.7419], [0.7419, 0.2581, 0.2581], [0.7419, 0.2581, 0.7419], [0.7419, 0.7419, 0.2581]], "magnetic_moment_mub_per_cell": 0.00, "final_energy_ev_per_atom": -25.056, "e_form_raw_mev_per_atom": -1511, "space_group": "Fm-3m, No. 225"}